Compound: Na3Co2ReO6
Source: the Alexandria database
Functional: PBE with a Hubbard U
Structure: relaxed

Results
* V: 270.3 Å³/cell
* theoretical density: 5.763 g/cm³
* VASP energy: -6.09 eV/atom

a b c (Å): 5.3896 9.3378 5.6667
angles (deg): 90.00 108.60 90.00
Closest atoms and distances in Å follow each position.
Space group C2/m (No. 12)
One atom of each set of equivalent atoms:
Na: 0.0000 0.0000 0.0000 (multiplicity 2)  6 O 2.36-2.49
Na: 0.0000 0.3279 0.0000 (multiplicity 4)  6 O 2.36-2.44
Co: 0.0000 0.1667 0.5000 (multiplicity 4)  6 O 2.15
Re: 0.0000 0.5000 0.5000 (multiplicity 2)  6 O 2.01-2.02
O: 0.2256 0.3426 0.7049 (multiplicity 8)  1 Re 2.02, 2 Co 2.15
O: 0.2452 0.5000 0.2967 (multiplicity 4)  1 Re 2.01, 2 Co 2.15